A relaxed structure of BeIn2Te. Source: Alexandria, functional PBE.

Cell and atoms, written as POSCAR:
```
BeIn2Te
1.0
-6.378 0.322 1.075
0.065 -6.086 2.212
-2.155 -0.925 7.000
Be Te In
2 2 4
Direct
0.500 0.500 0.000 Be
0.250 0.750 0.500 Be
0.000 0.000 0.000 Te
0.750 0.250 0.500 Te
0.562 0.125 0.250 In
0.188 0.625 0.250 In
0.375 0.438 0.750 In
0.875 0.812 0.750 In
```

Summary:
Total magnetization, μB/atom: 0.000
Symmetry: I-42d, No. 122
Offset from the most stable computed form, meV/atom: 194